A plane-wave DFT calculation with PBE+U was carried out for an optimized crystal structure of HoTl2FeO6.

POSCAR file:
```
HoTl2FeO6
1.0
-0.047 4.148 -3.741
-4.307 3.552 -0.178
0.802 5.457 1.870
Tl O Fe Ho
2 6 1 1
direct
0.033 0.033 0.900 Tl
0.545 0.545 0.365 Tl
0.972 0.571 0.258 O
0.571 0.199 0.258 O
0.667 0.110 0.790 O
0.433 0.667 0.790 O
0.111 0.433 0.790 O
0.199 0.972 0.258 O
0.320 0.320 0.040 Fe
0.812 0.812 0.565 Ho
```

Values from the calculation:
Uncorrected energy (eV per cell): -58.5
Magnetic moment (μB per formula unit): 1.00